VASP calculation (GGA-PBE) on a geometry-optimized BOsN2F structure.

## Properties
ΔE_f (raw): 1.02 eV/atom
Energy above the lowest structure with this stoichiometry: 0 meV per atom
SG: P4/mmm

a b c (Å): 3.698 3.698 2.920
angles (deg): 90.00 90.00 90.00
Element x y z (fractional)
B  0.000  0.000  0.000
Os  0.500  0.500  0.500
N  0.000  0.500  0.000
N  0.500  0.000  0.000
F  0.000  0.000  0.500